Version one
ScTl3Ge | GGA-PBE | optimized geometry

Properties
SG: Pm-3m, No. 221

Unit cell a=5.432 b=5.432 c=5.432 alpha=90.00 beta=90.00 gamma=90.00
Fractional coordinates of all 5 atoms:
Sc 0.500 0.500 0.500
Tl 0.000 0.500 0.000
Tl 0.000 0.000 0.500
Tl 0.500 0.000 0.000
Ge 0.000 0.000 0.000

=====

Version two
ScTl3Ge | GGA-PBE | optimized geometry

Properties
SG: Pm-3m, No. 221

Unit cell a=5.578 b=5.578 c=5.578 alpha=90.00 beta=90.00 gamma=90.00
Last column: magnetic moment on the atom in μB.
Fractional coordinates of all 5 atoms:
Sc 0.000 0.000 0.000  0.30
Tl 0.000 0.500 0.000  0.04
Tl 0.000 0.000 0.500  0.02
Tl 0.500 0.000 0.000  0.04
Ge 0.500 0.500 0.500  -0.06

=====

So which one is most stable? That would be version one, about 85 meV per atom below the next structure.

=====

Version one
TmSc2Ge | GGA-PBE | optimized geometry

Properties
SG: R-3m, No. 166

Unit cell a=3.339 b=3.339 c=10.519 alpha=80.87 beta=80.87 gamma=60.00
Last column: magnetic moment on the atom in μB.
Fractional coordinates of all 4 atoms:
Sc 0.103 0.103 0.692  0.06
Sc 0.897 0.897 0.308  0.06
Ge 0.500 0.500 0.500  0.00
Tm 0.000 0.000 0.000  0.24

=====

Version two
TmSc2Ge | GGA-PBE | optimized geometry

Properties
SG: Cmcm, No. 63

Unit cell a=3.961 b=5.969 c=8.480 alpha=90.00 beta=90.00 gamma=109.37
Fractional coordinates of all 8 atoms:
Tm 0.941 0.882 0.250
Tm 0.059 0.118 0.750
Sc 0.359 0.717 0.557
Sc 0.641 0.283 0.443
Sc 0.359 0.717 0.943
Sc 0.641 0.283 0.057
Ge 0.758 0.516 0.750
Ge 0.242 0.484 0.250

=====

So which one is most stable? That would be version two, about 470 meV per atom below the next structure.

=====

Version one
TmScGe2 | GGA-PBE | optimized geometry

Properties
SG: P4/mmm, No. 123

Unit cell a=3.925 b=4.570 c=4.570 alpha=90.00 beta=90.00 gamma=90.00
Fractional coordinates of all 4 atoms:
Sc 0.500 0.500 0.500
Ge 0.000 0.000 0.500
Ge 0.000 0.500 0.000
Tm 0.500 0.000 0.000

=====

Version two
TmScGe2 | GGA-PBE | optimized geometry

Properties
SG: Amm2, No. 38

Unit cell a=4.124 b=3.864 c=5.578 alpha=90.00 beta=111.70 gamma=90.00
Fractional coordinates of all 4 atoms:
Tm 0.445 0.500 0.429
Sc 0.719 0.000 0.977
Ge 0.172 0.500 0.883
Ge 0.995 0.000 0.529

=====

So which one is most stable? That would be version two, about 222 meV per atom below the next structure.

=====

Version one
ScV2Ge2 | GGA-PBE | optimized geometry

Properties
SG: P4/mbm, No. 127

Unit cell a=6.902 b=6.902 c=3.295 alpha=90.00 beta=90.00 gamma=90.00
Fractional coordinates of all 10 atoms:
Sc 0.000 0.000 0.000
Sc 0.500 0.500 0.000
Ge 0.367 0.867 0.000
Ge 0.867 0.633 0.000
Ge 0.633 0.133 0.000
Ge 0.133 0.367 0.000
V 0.163 0.663 0.500
V 0.663 0.837 0.500
V 0.837 0.337 0.500
V 0.337 0.163 0.500

=====

Version two
ScV2Ge2 | GGA-PBE | optimized geometry

Properties
SG: I4/mmm, No. 139

Unit cell a=4.688 b=4.688 c=5.118 alpha=62.74 beta=62.74 gamma=90.00
Fractional coordinates of all 5 atoms:
Sc 0.000 0.000 0.000
Ge 0.750 0.250 0.500
Ge 0.250 0.750 0.500
V 0.360 0.360 0.280
V 0.640 0.640 0.720

=====

So which one is most stable? That would be version one, about 277 meV per atom below the next structure.